# 1
# Tb4SnTe2 | Alexandria | PBE | relaxed
data_Tb4SnTe2
_space_group_name_H-M_alt 'F d d d'
_space_group_IT_number 70
_cell_length_a 9.3856
_cell_length_b 13.5850
_cell_length_c 13.6178
_cell_angle_alpha 90.00
_cell_angle_beta 90.00
_cell_angle_gamma 90.00
loop_
_space_group_symop_operation_xyz
'x,y,z'
'-x,-y,-z'
'-x+1/4,-y+1/4,z'
'x+1/4,y+1/4,-z'
'x,-y+1/4,-z+1/4'
'-x,y+1/4,z+1/4'
'-x+1/4,y,-z+1/4'
'x+1/4,-y,z+1/4'
'x,y+1/2,z+1/2'
'-x,-y+1/2,-z+1/2'
'-x+1/4,-y+3/4,z+1/2'
'x+1/4,y+3/4,-z+1/2'
'x,-y+3/4,-z+3/4'
'-x,y+3/4,z+3/4'
'-x+1/4,y+1/2,-z+3/4'
'x+1/4,-y+1/2,z+3/4'
'x+1/2,y,z+1/2'
'-x+1/2,-y,-z+1/2'
'-x+3/4,-y+1/4,z+1/2'
'x+3/4,y+1/4,-z+1/2'
'x+1/2,-y+1/4,-z+3/4'
'-x+1/2,y+1/4,z+3/4'
'-x+3/4,y,-z+3/4'
'x+3/4,-y,z+3/4'
'x+1/2,y+1/2,z'
'-x+1/2,-y+1/2,-z'
'-x+3/4,-y+3/4,z'
'x+3/4,y+3/4,-z'
'x+1/2,-y+3/4,-z+1/4'
'-x+1/2,y+3/4,z+1/4'
'-x+3/4,y+1/2,-z+1/4'
'x+3/4,-y+1/2,z+1/4'
loop_
_atom_site_label
_atom_site_type_symbol
_atom_site_fract_x
_atom_site_fract_y
_atom_site_fract_z
Tb1 Tb 0.0686 0.2799 0.4695
Sn1 Sn 0.1250 0.1250 0.6250
Te1 Te 0.0000 0.0000 0.0000
# Uncorrected formation energy ... -0.91 eV/atom
# Crystal system ... orthorhombic



# 2
# Tb3SnTe6 | Alexandria | PBE | relaxed
data_Tb3SnTe6
_space_group_name_H-M_alt 'C m c 21'
_space_group_IT_number 36
_space_group_name_Hall 'C 2c -2'
_cell_length_a 12.1137
_cell_length_b 15.0583
_cell_length_c 7.4938
_cell_angle_alpha 90.00
_cell_angle_beta 90.00
_cell_angle_gamma 90.00
loop_
_atom_site_label
_atom_site_type_symbol
_atom_site_fract_x
_atom_site_fract_y
_atom_site_fract_z
Tb1 Tb 0.0000 0.0922 0.0000
Tb2 Tb 0.1839 0.4036 0.8971
Sn1 Sn 0.0000 0.2960 0.3628
Te1 Te 0.0000 0.2765 0.7620
Te2 Te 0.0000 0.4720 0.1883
Te3 Te 0.1631 0.0376 0.7016
Te4 Te 0.1808 0.2259 0.1496
# Uncorrected formation energy ... -1.04 eV/atom
# Crystal system ... orthorhombic



# 3
# Tb8Sn2Te3 | Alexandria | PBE | relaxed
data_Tb8Sn2Te3
_space_group_name_H-M_alt 'C 1 2/m 1'
_space_group_IT_number 12
_space_group_name_Hall '-C 2y'
_cell_length_a 14.6741
_cell_length_b 8.3890
_cell_length_c 6.8520
_cell_angle_alpha 90.00
_cell_angle_beta 97.07
_cell_angle_gamma 90.00
loop_
_atom_site_label
_atom_site_type_symbol
_atom_site_fract_x
_atom_site_fract_y
_atom_site_fract_z
Tb1 Tb 0.0906 0.0000 0.3648
Tb2 Tb 0.1201 0.2112 0.8759
Tb3 Tb 0.1642 0.5000 0.3579
Sn1 Sn 0.2443 0.5000 0.8435
Te1 Te 0.0000 0.2963 0.5000
Te2 Te 0.0000 0.5000 0.0000
# Uncorrected formation energy ... -0.63 eV/atom
# Crystal system ... monoclinic



# 4
# TbSnTe4 | Alexandria | PBE | relaxed
data_TbSnTe4
_space_group_name_H-M_alt 'P 1 21/m 1'
_space_group_IT_number 11
_space_group_name_Hall '-P 2yb'
_cell_length_a 6.2213
_cell_length_b 10.2388
_cell_length_c 7.9605
_cell_angle_alpha 90.00
_cell_angle_beta 110.50
_cell_angle_gamma 90.00
loop_
_atom_site_label
_atom_site_type_symbol
_atom_site_fract_x
_atom_site_fract_y
_atom_site_fract_z
Tb1 Tb 0.0864 0.2500 0.1669
Sn1 Sn 0.2925 0.7500 0.4104
Te1 Te 0.0374 0.0569 0.8454
Te2 Te 0.2481 0.2500 0.5776
Te3 Te 0.4066 0.7500 0.7922
# Uncorrected formation energy ... -0.51 eV/atom
# Crystal system ... monoclinic



# 5
# Tb2SnTe | Alexandria | PBE | relaxed
data_Tb2SnTe
_space_group_name_H-M_alt 'R -3 m'
_space_group_IT_number 166
_space_group_name_Hall '-R 3 2"'
_cell_length_a 4.4010
_cell_length_b 4.4010
_cell_length_c 21.7198
_cell_angle_alpha 90.00
_cell_angle_beta 90.00
_cell_angle_gamma 120.00
loop_
_atom_site_label
_atom_site_type_symbol
_atom_site_fract_x
_atom_site_fract_y
_atom_site_fract_z
Tb1 Tb 0.0000 0.0000 0.2459
Sn1 Sn 0.0000 0.0000 0.5000
Te1 Te 0.0000 0.0000 0.0000
# Uncorrected formation energy ... -1.06 eV/atom
# Crystal system ... trigonal
# Energy above the lowest structure with this stoichiometry ... 0.08 eV per formula unit



# 6
# TbSnTe | Alexandria | PBE | relaxed
data_TbSnTe
_space_group_name_H-M_alt 'I 4/m m m'
_space_group_IT_number 139
_space_group_name_Hall '-I 4 2'
_cell_length_a 4.2326
_cell_length_b 4.2326
_cell_length_c 19.1281
_cell_angle_alpha 90.00
_cell_angle_beta 90.00
_cell_angle_gamma 90.00
loop_
_atom_site_label
_atom_site_type_symbol
_atom_site_fract_x
_atom_site_fract_y
_atom_site_fract_z
Tb1 Tb 0.0000 0.0000 0.1410
Sn1 Sn 0.0000 0.5000 0.0000
Te1 Te 0.0000 0.0000 0.3109
# Uncorrected formation energy ... -0.96 eV/atom
# Crystal system ... tetragonal



# 7
# Tb8Sn3Te4 | Alexandria | PBE | relaxed
data_Tb8Sn3Te4
_space_group_name_H-M_alt 'C 1 2/m 1'
_space_group_IT_number 12
_space_group_name_Hall '-C 2y'
_cell_length_a 12.2871
_cell_length_b 12.3219
_cell_length_c 8.6691
_cell_angle_alpha 90.00
_cell_angle_beta 134.70
_cell_angle_gamma 90.00
loop_
_atom_site_label
_atom_site_type_symbol
_atom_site_fract_x
_atom_site_fract_y
_atom_site_fract_z
Tb1 Tb 0.0000 0.2461 0.0000
Tb2 Tb 0.0000 0.2470 0.5000
Tb3 Tb 0.2408 0.0000 0.9949
Tb4 Tb 0.2422 0.0000 0.4945
Sn1 Sn 0.0000 0.0000 0.5000
Sn2 Sn 0.2500 0.2500 0.0000
Te1 Te 0.0000 0.5000 0.0000
Te2 Te 0.0000 0.5000 0.5000
Te3 Te 0.2500 0.2500 0.5000
# Uncorrected formation energy ... -0.98 eV/atom
# Crystal system ... monoclinic



# 8
# Tb6SnTe3 | Alexandria | PBE | relaxed
data_Tb6SnTe3
_space_group_name_H-M_alt 'P 1 21/m 1'
_space_group_IT_number 11
_space_group_name_Hall '-P 2yb'
_cell_length_a 12.1465
_cell_length_b 4.1711
_cell_length_c 12.5669
_cell_angle_alpha 90.00
_cell_angle_beta 104.52
_cell_angle_gamma 90.00
loop_
_atom_site_label
_atom_site_type_symbol
_atom_site_fract_x
_atom_site_fract_y
_atom_site_fract_z
Tb1 Tb 0.0143 0.2500 0.3554
Tb2 Tb 0.0805 0.2500 0.8861
Tb3 Tb 0.2563 0.7500 0.2969
Tb4 Tb 0.2908 0.7500 0.7617
Tb5 Tb 0.3847 0.2500 0.5407
Tb6 Tb 0.4461 0.7500 0.1220
Sn1 Sn 0.4569 0.2500 0.3106
Te1 Te 0.1104 0.2500 0.1427
Te2 Te 0.1749 0.7500 0.5107
Te3 Te 0.3370 0.2500 0.9490
# Uncorrected formation energy ... -0.90 eV/atom
# Crystal system ... monoclinic



# 9
# Tb2SnTe | Alexandria | PBE | relaxed
data_Tb2SnTe
_space_group_name_H-M_alt 'P m n a'
_space_group_IT_number 53
_space_group_name_Hall '-P 2ac 2'
_cell_length_a 6.2147
_cell_length_b 6.2147
_cell_length_c 12.4729
_cell_angle_alpha 90.00
_cell_angle_beta 90.00
_cell_angle_gamma 90.00
loop_
_atom_site_label
_atom_site_type_symbol
_atom_site_fract_x
_atom_site_fract_y
_atom_site_fract_z
Tb1 Tb 0.0000 0.2496 0.1218
Tb2 Tb 0.0000 0.2505 0.6281
Sn1 Sn 0.0000 0.2504 0.8750
Te1 Te 0.0000 0.2496 0.3750
# Uncorrected formation energy ... -1.08 eV/atom
# Crystal system ... orthorhombic
# Energy above the lowest structure with this stoichiometry ... 0.00 eV per formula unit



# 10
# Tb2SnTe | Alexandria | PBE | relaxed
data_Tb2SnTe
_space_group_name_H-M_alt 'R 3 m'
_space_group_IT_number 160
_space_group_name_Hall 'R 3 -2"'
_cell_length_a 4.3633
_cell_length_b 4.3633
_cell_length_c 22.5216
_cell_angle_alpha 90.00
_cell_angle_beta 90.00
_cell_angle_gamma 120.00
loop_
_atom_site_label
_atom_site_type_symbol
_atom_site_fract_x
_atom_site_fract_y
_atom_site_fract_z
Tb1 Tb 0.0000 0.0000 0.0000
Tb2 Tb 0.0000 0.0000 0.1795
Sn1 Sn 0.0000 0.0000 0.5909
Te1 Te 0.0000 0.0000 0.4211
# Uncorrected formation energy ... -0.97 eV/atom
# Crystal system ... trigonal
# Energy above the lowest structure with this stoichiometry ... 0.43 eV per formula unit